Entry 1:
This record from the Alexandria database describes an optimized crystal structure of AsHOsPd. The functional is GGA-PBE.

Energy relative to the lowest polymorph listed for this composition, meV/atom: 31
Total magnetic moment, μB per atom: 0.00
Crystal system: monoclinic
Raw total energy, eV per atom: -5.974
Space group: Pm (6)

Unit cell a=2.9722 b=2.9779 c=5.9526 alpha=90.00 beta=90.04 gamma=90.00
Fractional positions:
As1 0.8424 0.0000 0.5556
H1 0.4551 0.5000 0.0109
Os1 0.3448 0.5000 0.3209
Pd1 0.8402 0.0000 0.9790

Entry 2:
This record from the Alexandria database describes an optimized crystal structure of LaMg2Ru. The functional is GGA-PBE.

Formation energy from the elements, kJ/mol of atoms: 13.76
Total magnetic moment, μB per atom: 0.00
Crystal system: cubic
Raw total energy, eV per atom: -4.205
Space group: Fm-3m (225)

Unit cell a=4.9428 b=4.9428 c=4.9428 alpha=60.00 beta=60.00 gamma=60.00
Fractional positions:
Ru1 0.0000 0.0000 0.0000
Mg1 0.2500 0.2500 0.2500
Mg2 0.7500 0.7500 0.7500
La1 0.5000 0.5000 0.5000

Entry 3:
This record from the Alexandria database describes an optimized crystal structure of TaZnAg2Au. The functional is GGA-PBE.

Formation energy from the elements, kJ/mol of atoms: 122.85
Total magnetic moment, μB per atom: 0.54
Crystal system: tetragonal
Raw total energy, eV per atom: -3.148
Space group: P4/mmm (123)

Unit cell a=5.0520 b=4.6809 c=5.0520 alpha=90.00 beta=90.00 gamma=90.00
Fractional positions:
Zn1 0.0000 0.5000 0.0000
Au1 0.0000 0.0000 0.0000
Ag1 0.0000 0.0000 0.5000
Ag2 0.5000 0.0000 0.0000
Ta1 0.5000 0.5000 0.5000

Entry 4:
This record from the Alexandria database describes an optimized crystal structure of La2Be6Pd9. The functional is GGA-PBE.

Formation energy from the elements, kJ/mol of atoms: -56.90
Total magnetic moment, μB per atom: 0.00
Crystal system: hexagonal
Raw total energy, eV per atom: -5.234
Space group: P6/mmm (191)

Unit cell a=5.6777 b=5.6777 c=9.8295 alpha=90.00 beta=90.00 gamma=120.00
Fractional positions:
La1 0.0000 0.0000 0.7034
La2 0.0000 0.0000 0.2966
Be1 0.3333 0.6667 0.0000
Be2 0.6667 0.3333 0.0000
Be3 0.3333 0.6667 0.6669
Be4 0.6667 0.3333 0.6669
Be5 0.6667 0.3333 0.3331
Be6 0.3333 0.6667 0.3331
Pd1 0.5000 0.0000 0.8384
Pd2 0.0000 0.5000 0.8384
Pd3 0.5000 0.5000 0.8384
Pd4 0.5000 0.0000 0.1616
Pd5 0.0000 0.5000 0.1616
Pd6 0.5000 0.5000 0.1616
Pd7 0.5000 0.0000 0.5000
Pd8 0.0000 0.5000 0.5000
Pd9 0.5000 0.5000 0.5000

Entry 5:
This record from the Alexandria database describes an optimized crystal structure of DyPuNiHg. The functional is GGA-PBE.

Formation energy from the elements, kJ/mol of atoms: -11.22
Total magnetic moment, μB per atom: 1.38
Crystal system: cubic
Raw total energy, eV per atom: -6.371
Space group: F-43m (216)

Unit cell a=5.0770 b=5.0770 c=5.0770 alpha=60.00 beta=60.00 gamma=60.00
Fractional positions:
Ni1 0.2500 0.2500 0.2500
Dy1 0.5000 0.5000 0.5000
Hg1 0.7500 0.7500 0.7500
Pu1 0.0000 0.0000 0.0000

Entry 6:
This record from the Alexandria database describes an optimized crystal structure of CaSbW2Au. The functional is GGA-PBE.

Energy relative to the lowest polymorph listed for this composition, meV/atom: 0
Total magnetic moment, μB per atom: 0.00
Formation energy without anion corrections, eV/atom: 0.035
Crystal system: monoclinic
Raw total energy, eV per atom: -7.026
Space group: Cm (8)

Unit cell a=3.3892 b=3.3741 c=18.1136 alpha=90.00 beta=100.24 gamma=90.00
Fractional positions:
Sb1 0.9649 0.0000 0.2207
Sb2 0.9649 0.5000 0.7207
Ca1 0.3378 0.0000 0.5894
Ca2 0.3378 0.5000 0.0894
Au1 0.7309 0.0000 0.9800
Au2 0.7309 0.5000 0.4800
W1 0.5383 0.0000 0.8121
W2 0.5383 0.5000 0.3121
W3 0.1507 0.0000 0.3868
W4 0.1507 0.5000 0.8868

Entry 7:
This record from the Alexandria database describes an optimized crystal structure of Tb2NdFe. The functional is GGA-PBE.

Energy relative to the lowest polymorph listed for this composition, meV/atom: 0
Formation energy from the elements, kJ/mol of atoms: 9.26
Total magnetic moment, μB per atom: 0.00
Crystal system: tetragonal
Raw total energy, eV per atom: -5.527
Space group: P4/mmm (123)

Unit cell a=3.3857 b=3.3857 c=9.1770 alpha=90.00 beta=90.00 gamma=90.00
Fractional positions:
Nd1 0.5000 0.5000 0.5000
Tb1 0.0000 0.0000 0.8243
Tb2 0.0000 0.0000 0.1757
Fe1 0.5000 0.5000 0.0000

Entry 8:
This record from the Alexandria database describes an optimized crystal structure of Pr3Tm4S8. The functional is GGA-PBE.

Total magnetic moment, μB per atom: 0.00
Formation energy without anion corrections, eV/atom: -1.997
Crystal system: monoclinic
Raw total energy, eV per atom: -6.347
Space group: C2/m (12)

Unit cell a=7.8885 b=7.9320 c=7.9320 alpha=90.05 beta=119.75 gamma=119.75
Fractional positions:
Pr1 0.5000 0.5000 0.0000
Pr2 0.5000 0.0000 0.5000
Pr3 0.5000 0.5000 0.5000
Tm1 0.5000 0.0000 0.0000
Tm2 0.0000 0.5000 0.0000
Tm3 0.0000 0.0000 0.0000
Tm4 0.0000 0.0000 0.5000
S1 0.4859 0.2350 0.2350
S2 0.0000 0.7558 0.2442
S3 0.9851 0.2379 0.2379
S4 0.5000 0.7580 0.2420
S5 0.5000 0.2420 0.7580
S6 0.0149 0.7621 0.7621
S7 0.0000 0.2442 0.7558
S8 0.5141 0.7650 0.7650

Entry 9:
This record from the Alexandria database describes an optimized crystal structure of NaNbPt3. The functional is GGA-PBE.

Energy relative to the lowest polymorph listed for this composition, meV/atom: 0
Formation energy from the elements, kJ/mol of atoms: 46.89
Total magnetic moment, μB per atom: 0.00
Crystal system: cubic
Raw total energy, eV per atom: -5.416
Space group: Pm-3m (221)

Unit cell a=4.9447 b=4.9447 c=4.9447 alpha=90.00 beta=90.00 gamma=90.00
Fractional positions:
Na1 0.5000 0.5000 0.5000
Nb1 0.0000 0.0000 0.0000
Pt1 0.0000 0.5000 0.0000
Pt2 0.0000 0.0000 0.5000
Pt3 0.5000 0.0000 0.0000

Entry 10:
This record from the Alexandria database describes an optimized crystal structure of In3TcSe. The functional is GGA-PBE.

Energy relative to the lowest polymorph listed for this composition, meV/atom: 0
Total magnetic moment, μB per atom: 0.33
Formation energy without anion corrections, eV/atom: 0.451
Crystal system: cubic
Raw total energy, eV per atom: -3.962
Space group: Pm-3m (221)

Unit cell a=5.2383 b=5.2383 c=5.2383 alpha=90.00 beta=90.00 gamma=90.00
Fractional positions:
Tc1 0.0000 0.0000 0.0000
Se1 0.5000 0.5000 0.5000
In1 0.0000 0.5000 0.0000
In2 0.0000 0.0000 0.5000
In3 0.5000 0.0000 0.0000

Entry 11:
This record from the Alexandria database describes an optimized crystal structure of Cu2SbPt. The functional is GGA-PBE.

Total magnetic moment, μB per atom: 0.00
Formation energy without anion corrections, eV/atom: -0.101
Crystal system: tetragonal
Raw total energy, eV per atom: -4.690
Space group: I-4m2 (119)

Unit cell a=4.8272 b=4.8272 c=4.8272 alpha=131.11 beta=131.12 gamma=71.63
Fractional positions:
Cu1 0.9999 0.9999 0.0000
Cu2 0.7500 0.2500 0.5000
Pt1 0.5000 0.5000 0.0000
Sb1 0.2500 0.7500 0.5000

Entry 12:
This record from the Alexandria database describes an optimized crystal structure of Ho2Zn3Ga4Au. The functional is GGA-PBE.

Formation energy from the elements, kJ/mol of atoms: -42.79
Total magnetic moment, μB per atom: 0.00
Crystal system: tetragonal
Raw total energy, eV per atom: -3.280
Space group: P-4m2 (115)

Unit cell a=4.1783 b=4.1783 c=10.6975 alpha=90.00 beta=90.00 gamma=90.00
Fractional positions:
Ho1 0.5000 0.0000 0.2454
Ho2 0.0000 0.5000 0.7546
Zn1 0.0000 0.0000 0.5000
Zn2 0.5000 0.0000 0.8643
Zn3 0.0000 0.5000 0.1357
Ga1 0.5000 0.5000 0.0000
Ga2 0.0000 0.0000 0.0000
Ga3 0.5000 0.0000 0.6415
Ga4 0.0000 0.5000 0.3585
Au1 0.5000 0.5000 0.5000